First-principles (GGA-PBE) data for crystalline NdLuSb at its relaxed geometry, as listed in Alexandria via LeMat-Bulk.

Results
E_tot = -14.75 eV per formula unit
DOS(E_F) = 1.1800 states/eV/atom
formation energy without anion corrections = -0.448 eV/atom

```
data_NdLuSb
_cell_length_a 4.0727
_cell_length_b 5.0687
_cell_length_c 5.0687
_cell_angle_alpha 120.00
_cell_angle_beta 90.00
_cell_angle_gamma 90.00
_symmetry_space_group_name_H-M 'P 1'
_symmetry_Int_Tables_number 1
loop_
_symmetry_equiv_pos_as_xyz
'x,y,z'
loop_
_atom_site_label
_atom_site_type_symbol
_atom_site_fract_x
_atom_site_fract_y
_atom_site_fract_z
Sb1 Sb 0.2469 0.3333 0.6667
Lu1 Lu 0.1160 0.0000 0.0000
Nd1 Nd 0.6372 0.6667 0.3333
```

=====

First-principles (GGA-PBE) data for crystalline NdLuSb at its relaxed geometry, as listed in Alexandria via LeMat-Bulk.

Results
E_tot = -15.23 eV per formula unit
DOS(E_F) = 0.6973 states/eV/atom
formation energy without anion corrections = -0.606 eV/atom

```
data_NdLuSb
_cell_length_a 3.9758
_cell_length_b 3.9758
_cell_length_c 6.1771
_cell_angle_alpha 108.77
_cell_angle_beta 108.77
_cell_angle_gamma 90.00
_symmetry_space_group_name_H-M 'P 1'
_symmetry_Int_Tables_number 1
loop_
_symmetry_equiv_pos_as_xyz
'x,y,z'
loop_
_atom_site_label
_atom_site_type_symbol
_atom_site_fract_x
_atom_site_fract_y
_atom_site_fract_z
Sb1 Sb 0.6284 0.6284 0.2568
Lu1 Lu 0.2623 0.2623 0.5247
Nd1 Nd 0.9593 0.9593 0.9186
```

=====

First-principles (GGA-PBE) data for crystalline NdLuSc4 at its relaxed geometry, as listed in Alexandria via LeMat-Bulk.

Results
E_tot = -33.19 eV per formula unit
DOS(E_F) = 2.4955 states/eV/atom
energy of formation = 0.237 eV per atom

```
data_NdLuSc4
_cell_length_a 6.2543
_cell_length_b 6.2543
_cell_length_c 6.2543
_cell_angle_alpha 60.00
_cell_angle_beta 60.00
_cell_angle_gamma 60.00
_symmetry_space_group_name_H-M 'P 1'
_symmetry_Int_Tables_number 1
loop_
_symmetry_equiv_pos_as_xyz
'x,y,z'
loop_
_atom_site_label
_atom_site_type_symbol
_atom_site_fract_x
_atom_site_fract_y
_atom_site_fract_z
Sc1 Sc 0.6255 0.6255 0.1236
Sc2 Sc 0.6255 0.1236 0.6255
Sc3 Sc 0.6255 0.6255 0.6255
Sc4 Sc 0.1236 0.6255 0.6255
Lu1 Lu 0.0000 0.0000 0.0000
Nd1 Nd 0.2500 0.2500 0.2500
```

=====

Number 1: calculated density 8.1 g cm⁻³. Number 2: calculated density 8.4 g cm⁻³. Number 3: calculated density 4.8 g cm⁻³.